# 1
The following is a PBE calculation of a relaxed LiTb2PbS crystal, from Alexandria via LeMat-Bulk.

Lattice parameters (Å, degrees): 7.536 4.054 8.140 90.00 108.14 90.00
Sites, in units of the cell vectors:
1 Li 0.051 0.250 0.145
2 Li 0.949 0.750 0.855
3 Tb 0.256 0.750 0.522
4 Tb 0.381 0.750 0.113
5 Tb 0.619 0.250 0.887
6 Tb 0.744 0.250 0.478
7 Pb 0.172 0.250 0.796
8 Pb 0.828 0.750 0.204
9 S 0.353 0.250 0.331
10 S 0.647 0.750 0.669

Summary:
- formation energy from raw total energies (meV per atom) = -1029
- total DFT energy (no corrections) (eV per atom) = -4.831
- magnetization (μB per cell) = 0.000

---

# 2
The following is a PBE calculation of a relaxed Li2TePbS4 crystal, from Alexandria via LeMat-Bulk.

Lattice parameters (Å, degrees): 7.861 7.861 7.861 120.31 119.38 90.27
Sites, in units of the cell vectors:
1 Li 0.000 0.000 0.000
2 Li 0.500 0.000 0.000
3 Li 0.500 0.000 0.500
4 Li 0.500 0.500 0.500
5 Te 0.000 0.000 0.500
6 Te 0.000 0.500 0.000
7 Pb 0.000 0.500 0.500
8 Pb 0.500 0.500 0.000
9 S 0.228 0.236 0.992
10 S 0.242 0.219 0.478
11 S 0.242 0.764 0.022
12 S 0.256 0.764 0.492
13 S 0.744 0.236 0.508
14 S 0.758 0.236 0.978
15 S 0.758 0.781 0.522
16 S 0.772 0.764 0.008

Summary:
- formation energy from raw total energies (meV per atom) = -550
- total DFT energy (no corrections) (eV per atom) = -3.948
- magnetization (μB per cell) = 0.000

---

# 3
The following is a PBE calculation of a relaxed LiTePb2S4 crystal, from Alexandria via LeMat-Bulk.

Lattice parameters (Å, degrees): 7.932 7.932 8.200 117.59 117.59 89.98
Sites, in units of the cell vectors:
1 Li 0.000 0.000 0.000
2 Li 0.000 0.000 0.500
3 Te 0.000 0.500 0.000
4 Te 0.500 0.000 0.500
5 Pb 0.000 0.500 0.500
6 Pb 0.500 0.000 0.000
7 Pb 0.500 0.500 0.000
8 Pb 0.500 0.500 0.500
9 S 0.211 0.737 0.975
10 S 0.232 0.254 0.014
11 S 0.254 0.232 0.514
12 S 0.263 0.789 0.525
13 S 0.737 0.211 0.475
14 S 0.746 0.768 0.486
15 S 0.768 0.746 0.986
16 S 0.789 0.263 0.025

Summary:
- formation energy from raw total energies (meV per atom) = -430
- total DFT energy (no corrections) (eV per atom) = -4.053
- magnetization (μB per cell) = 0.000

---

# 4
The following is a PBE calculation of a relaxed Li2Ti3PbS8 crystal, from Alexandria via LeMat-Bulk.

Lattice parameters (Å, degrees): 7.691 7.691 7.691 56.46 56.46 56.46
Sites, in units of the cell vectors:
1 Li 0.000 0.000 0.000
2 Li 0.364 0.364 0.364
3 Ti 0.474 0.993 0.993
4 Ti 0.993 0.474 0.993
5 Ti 0.993 0.993 0.474
6 Pb 0.611 0.611 0.611
7 S 0.177 0.756 0.756
8 S 0.230 0.230 0.230
9 S 0.248 0.248 0.767
10 S 0.248 0.767 0.248
11 S 0.756 0.177 0.756
12 S 0.756 0.756 0.177
13 S 0.757 0.757 0.757
14 S 0.767 0.248 0.248

Summary:
- formation energy from raw total energies (meV per atom) = -1110
- total DFT energy (no corrections) (eV per atom) = -5.699
- magnetization (μB per cell) = 0.000

---

# 5
The following is a PBE calculation of a relaxed LiTi2PbS crystal, from Alexandria via LeMat-Bulk.

Lattice parameters (Å, degrees): 4.824 4.824 3.891 90.00 90.00 90.00
Sites, in units of the cell vectors:
1 Li 0.000 0.000 0.000
2 Ti 0.000 0.500 0.000
3 Ti 0.500 0.000 0.000
4 Pb 0.500 0.500 0.500
5 S 0.000 0.000 0.500

Summary:
- formation energy from raw total energies (meV per atom) = 361
- total DFT energy (no corrections) (eV per atom) = -4.746
- magnetization (μB per cell) = 0.000

---

# 6
The following is a PBE calculation of a relaxed Li2UPb2S6 crystal, from Alexandria via LeMat-Bulk.

Lattice parameters (Å, degrees): 7.157 7.157 6.481 97.35 97.35 118.53
Sites, in units of the cell vectors:
1 Li 0.126 0.874 0.000
2 Li 0.874 0.126 0.000
3 U 0.000 0.000 0.500
4 Pb 0.328 0.672 0.500
5 Pb 0.672 0.328 0.500
6 S 0.047 0.349 0.734
7 S 0.222 0.222 0.257
8 S 0.349 0.047 0.734
9 S 0.651 0.953 0.266
10 S 0.778 0.778 0.743
11 S 0.953 0.651 0.266

Summary:
- formation energy from raw total energies (meV per atom) = -987
- total DFT energy (no corrections) (eV per atom) = -5.287
- magnetization (μB per cell) = 0.000